[1]
# PBE HoGaPt2, relaxed
# E in Ry/atom: -0.4400
data_HoGaPt2
_chemical_formula_sum 'Ho8 Ga8 Pt16'
_space_group_name_H-M_alt 'P 1'
_space_group_IT_number 1
_cell_length_a 5.5532
_cell_length_b 7.2335
_cell_length_c 14.5216
_cell_angle_alpha 90.00
_cell_angle_beta 90.00
_cell_angle_gamma 90.00
loop_
_space_group_symop_operation_xyz
'x,y,z'
loop_
_atom_site_label
_atom_site_type_symbol
_atom_site_fract_x
_atom_site_fract_y
_atom_site_fract_z
Pt1 Pt 0.0253 0.5529 0.7838
Ho1 Ho 0.5049 0.7500 0.8631
Ga1 Ga 0.2586 0.2500 0.3188
Ho2 Ho 0.7347 0.2500 0.8874
Pt2 Pt 0.4747 0.9471 0.2838
Pt3 Pt 0.7345 0.9517 0.0326
Pt4 Pt 0.9747 0.0529 0.2162
Ho3 Ho 0.7653 0.2500 0.3874
Pt5 Pt 0.2345 0.0483 0.4674
Ho4 Ho 0.4951 0.2500 0.1369
Pt6 Pt 0.2655 0.4517 0.9674
Pt7 Pt 0.5253 0.0529 0.7162
Pt8 Pt 0.2655 0.0483 0.9674
Ga2 Ga 0.4864 0.7500 0.4332
Pt9 Pt 0.9747 0.4471 0.2162
Pt10 Pt 0.7655 0.5483 0.5326
Ga3 Ga 0.7586 0.7500 0.1812
Ga4 Ga 0.5136 0.2500 0.5668
Ho5 Ho 0.2653 0.7500 0.1126
Pt11 Pt 0.5253 0.4471 0.7162
Pt12 Pt 0.0253 0.9471 0.7838
Ho6 Ho 0.9951 0.7500 0.3631
Pt13 Pt 0.2345 0.4517 0.4674
Pt14 Pt 0.4747 0.5529 0.2838
Pt15 Pt 0.7655 0.9517 0.5326
Ga5 Ga 0.7414 0.7500 0.6812
Ho7 Ho 0.0049 0.2500 0.6369
Ho8 Ho 0.2347 0.7500 0.6126
Pt16 Pt 0.7345 0.5483 0.0326
Ga6 Ga 0.0136 0.7500 0.9332
Ga7 Ga 0.9864 0.2500 0.0668
Ga8 Ga 0.2414 0.2500 0.8188



[2]
# PBE Hg2PbBr2, relaxed
# E in Ry/atom: -0.1250
# Offset from the most stable computed form in meV/atom: 345
# Formation energy without anion corrections in eV/atom: -0.169
data_Hg2PbBr2
_chemical_formula_sum 'Hg2 Pb1 Br2'
_space_group_name_H-M_alt 'P 1'
_space_group_IT_number 1
_cell_length_a 6.3035
_cell_length_b 6.3035
_cell_length_c 6.1919
_cell_angle_alpha 59.40
_cell_angle_beta 59.40
_cell_angle_gamma 90.00
loop_
_space_group_symop_operation_xyz
'x,y,z'
loop_
_atom_site_label
_atom_site_type_symbol
_atom_site_fract_x
_atom_site_fract_y
_atom_site_fract_z
Pb1 Pb 0.0000 0.0000 0.0000
Hg1 Hg 0.6583 0.6583 0.6834
Br1 Br 0.2500 0.7500 0.5000
Br2 Br 0.7500 0.2500 0.5000
Hg2 Hg 0.3417 0.3417 0.3166



[3]
# PBE Cs2NaSn2, relaxed
# E in Ry/atom: -0.1615
# Offset from the most stable computed form in meV/atom: 127
data_Cs2NaSn2
_chemical_formula_sum 'Cs2 Na1 Sn2'
_space_group_name_H-M_alt 'P 1'
_space_group_IT_number 1
_cell_length_a 4.3627
_cell_length_b 4.3627
_cell_length_c 13.6341
_cell_angle_alpha 80.79
_cell_angle_beta 80.79
_cell_angle_gamma 90.00
loop_
_space_group_symop_operation_xyz
'x,y,z'
loop_
_atom_site_label
_atom_site_type_symbol
_atom_site_fract_x
_atom_site_fract_y
_atom_site_fract_z
Sn1 Sn 0.7500 0.2500 0.5000
Cs1 Cs 0.6240 0.6240 0.7521
Cs2 Cs 0.3760 0.3760 0.2479
Sn2 Sn 0.2500 0.7500 0.5000
Na1 Na 0.0000 0.0000 0.0000



[4]
# PBE NdHf2GeO8, relaxed
# E in Ry/atom: -0.6228
# Formation energy without anion corrections in eV/atom: -2.727
data_NdHf2GeO8
_chemical_formula_sum 'Nd1 Hf2 Ge1 O8'
_space_group_name_H-M_alt 'P 1'
_space_group_IT_number 1
_cell_length_a 4.8726
_cell_length_b 4.8733
_cell_length_c 6.6085
_cell_angle_alpha 90.00
_cell_angle_beta 90.00
_cell_angle_gamma 87.13
loop_
_space_group_symop_operation_xyz
'x,y,z'
loop_
_atom_site_label
_atom_site_type_symbol
_atom_site_fract_x
_atom_site_fract_y
_atom_site_fract_z
O1 O 0.8035 0.1976 0.7961
O2 O 0.6735 0.6753 0.5000
O3 O 0.3265 0.3247 0.5000
Nd1 Nd 0.0000 0.0000 0.5000
Ge1 Ge 0.0000 0.0000 0.0000
O4 O 0.8035 0.1976 0.2039
Hf1 Hf 0.5000 0.5000 0.2453
Hf2 Hf 0.5000 0.5000 0.7547
O5 O 0.7068 0.7077 0.0000
O6 O 0.1965 0.8024 0.2039
O7 O 0.2932 0.2923 0.0000
O8 O 0.1965 0.8024 0.7961



[5]
# PBE CaScS2F, relaxed
# E in Ry/atom: -0.4546
# Formation energy without anion corrections in eV/atom: -2.493
data_CaScS2F
_chemical_formula_sum 'Ca2 Sc2 S4 F2'
_space_group_name_H-M_alt 'P 1'
_space_group_IT_number 1
_cell_length_a 3.7637
_cell_length_b 3.7637
_cell_length_c 13.3010
_cell_angle_alpha 90.00
_cell_angle_beta 90.00
_cell_angle_gamma 90.00
loop_
_space_group_symop_operation_xyz
'x,y,z'
loop_
_atom_site_label
_atom_site_type_symbol
_atom_site_fract_x
_atom_site_fract_y
_atom_site_fract_z
F1 F 0.0000 0.0000 0.5000
Sc1 Sc 0.0000 0.5000 0.8820
Ca1 Ca 0.5000 0.0000 0.6043
F2 F 0.5000 0.5000 0.5000
S1 S 0.0000 0.5000 0.7059
Ca2 Ca 0.0000 0.5000 0.3957
S2 S 0.0000 0.5000 0.0896
Sc2 Sc 0.5000 0.0000 0.1180
S3 S 0.5000 0.0000 0.9104
S4 S 0.5000 0.0000 0.2941



[6]
# PBE TmCdPd, relaxed
# E in Ry/atom: -0.3006
data_TmCdPd
_chemical_formula_sum 'Tm1 Cd1 Pd1'
_space_group_name_H-M_alt 'P 1'
_space_group_IT_number 1
_cell_length_a 4.6720
_cell_length_b 4.6720
_cell_length_c 4.6720
_cell_angle_alpha 60.00
_cell_angle_beta 60.00
_cell_angle_gamma 60.00
loop_
_space_group_symop_operation_xyz
'x,y,z'
loop_
_atom_site_label
_atom_site_type_symbol
_atom_site_fract_x
_atom_site_fract_y
_atom_site_fract_z
Tm1 Tm 0.0000 0.0000 0.0000
Cd1 Cd 0.5000 0.5000 0.5000
Pd1 Pd 0.2500 0.2500 0.2500